Computed, not measured: ReH3Br after structural relaxation at the PBE level of DFT.

Structure (extended XYZ):
```
5
Lattice="3.6642 0.0000 0.0000 0.0000 3.6642 0.0000 0.0000 0.0000 3.6642" Properties=species:S:1:pos:R:3 pbc="T T T"
Re 0.0000 0.0000 0.0000
H 0.0000 0.0000 1.8321
H 0.0000 1.8321 0.0000
H 1.8321 0.0000 0.0000
Br 1.8321 1.8321 1.8321
```

Properties
**Calculated volume**: 49.2 Å³ per cell
**DFT total energy**: -3.9276 eV per atom
**Crystal system**: cubic
**Polymorph energy (0 for the lowest one)**: 0.000 eV/atom


Computed, not measured: Re2HBr after structural relaxation at the PBE level of DFT.

Structure (extended XYZ):
```
16
Lattice="5.9176 0.0000 0.0000 0.0000 5.9176 0.0000 0.0000 0.0000 5.9176" Properties=species:S:1:pos:R:3 pbc="T T T"
Re 1.4794 1.4794 1.4794
Re 1.4794 1.4794 4.4382
Re 1.4794 4.4382 1.4794
Re 1.4794 4.4382 4.4382
Re 4.4382 1.4794 1.4794
Re 4.4382 1.4794 4.4382
Re 4.4382 4.4382 1.4794
Re 4.4382 4.4382 4.4382
H 0.0000 0.0000 0.0000
H 0.0000 2.9588 2.9588
H 2.9588 0.0000 2.9588
H 2.9588 2.9588 0.0000
Br 0.0000 0.0000 2.9588
Br 0.0000 2.9588 0.0000
Br 2.9588 0.0000 0.0000
Br 2.9588 2.9588 2.9588
```

Properties
**Calculated volume**: 207.2 Å³ per cell
**DFT total energy**: -5.7054 eV per atom
**Crystal system**: cubic
**Polymorph energy (0 for the lowest one)**: 0.755 eV/atom


Computed, not measured: ReHBr3 after structural relaxation at the PBE level of DFT.

Structure (extended XYZ):
```
5
Lattice="5.1858 0.0000 0.0000 0.0000 5.1858 0.0000 0.0000 0.0000 5.1858" Properties=species:S:1:pos:R:3 pbc="T T T"
Re 0.0000 0.0000 0.0000
H 2.5929 2.5929 2.5929
Br 0.0000 0.0000 2.5929
Br 0.0000 2.5929 0.0000
Br 2.5929 0.0000 0.0000
```

Properties
**Calculated volume**: 139.5 Å³ per cell
**DFT total energy**: -3.4844 eV per atom
**Crystal system**: cubic
**Polymorph energy (0 for the lowest one)**: 0.000 eV/atom


Computed, not measured: ReH3Br after structural relaxation at the PBE level of DFT.

Structure (extended XYZ):
```
5
Lattice="3.8827 0.0000 0.0000 0.0000 3.8827 0.0000 0.0000 0.0000 3.8827" Properties=species:S:1:pos:R:3 pbc="T T T"
Re 0.0000 0.0000 0.0000
H 0.0000 1.9414 1.9414
H 1.9414 0.0000 1.9414
H 1.9414 1.9414 0.0000
Br 1.9414 1.9414 1.9414
```

Properties
**Calculated volume**: 58.5 Å³ per cell
**DFT total energy**: -2.7803 eV per atom
**Crystal system**: cubic
**Polymorph energy (0 for the lowest one)**: 1.147 eV/atom


Computed, not measured: ReHSe2Br after structural relaxation at the PBE level of DFT.

Structure (extended XYZ):
```
5
Lattice="4.7827 0.0000 0.0000 0.0000 4.7827 0.0000 0.0000 0.0000 5.4811" Properties=species:S:1:pos:R:3 pbc="T T T"
Re 0.0000 0.0000 0.0000
H 2.3913 2.3913 2.7406
Se 0.0000 2.3913 0.0000
Se 2.3913 0.0000 0.0000
Br 0.0000 0.0000 2.7406
```

Properties
**Calculated volume**: 125.4 Å³ per cell
**DFT total energy**: -4.1697 eV per atom
**Crystal system**: tetragonal
**Polymorph energy (0 for the lowest one)**: 0.000 eV/atom


Computed, not measured: ReHSeBr2 after structural relaxation at the PBE level of DFT.

Structure (extended XYZ):
```
5
Lattice="5.2548 0.0000 0.0000 0.0000 5.2548 0.0000 0.0000 0.0000 4.7275" Properties=species:S:1:pos:R:3 pbc="T T T"
Re 0.0000 0.0000 0.0000
H 2.6274 2.6274 2.3637
Se 0.0000 0.0000 2.3637
Br 0.0000 2.6274 0.0000
Br 2.6274 0.0000 0.0000
```

Properties
**Calculated volume**: 130.5 Å³ per cell
**DFT total energy**: -3.8339 eV per atom
**Crystal system**: tetragonal
**Polymorph energy (0 for the lowest one)**: 0.000 eV/atom


Computed, not measured: ReHSe2Br after structural relaxation at the PBE level of DFT.

Structure (extended XYZ):
```
5
Lattice="4.0252 0.0000 0.0000 0.0000 4.0252 0.0000 0.0000 0.0000 4.8369" Properties=species:S:1:pos:R:3 pbc="T T T"
Re 0.0000 0.0000 0.0000
H 2.0126 2.0126 2.4184
Se 0.0000 2.0126 2.4184
Se 2.0126 0.0000 2.4184
Br 2.0126 2.0126 0.0000
```

Properties
**Calculated volume**: 78.4 Å³ per cell
**DFT total energy**: -3.5843 eV per atom
**Crystal system**: tetragonal
**Polymorph energy (0 for the lowest one)**: 0.585 eV/atom


Computed, not measured: ReHSeBr2 after structural relaxation at the PBE level of DFT.

Structure (extended XYZ):
```
5
Lattice="4.9878 0.0000 0.0000 0.0000 4.9878 0.0000 0.0000 0.0000 3.3752" Properties=species:S:1:pos:R:3 pbc="T T T"
Re 0.0000 0.0000 0.0000
H 2.4939 2.4939 1.6876
Se 2.4939 2.4939 0.0000
Br 0.0000 2.4939 1.6876
Br 2.4939 0.0000 1.6876
```

Properties
**Calculated volume**: 84.0 Å³ per cell
**DFT total energy**: -3.1689 eV per atom
**Crystal system**: tetragonal
**Polymorph energy (0 for the lowest one)**: 0.665 eV/atom